Record 1
Material: Pr2DyEr7
Method: DFT, GGA-PBE
State: optimized geometry

Results
Formation energy from the elements (eV/f.u.): 0.2
Density of states at the Fermi level (states/eV per cell): 14.2
Energy relative to the lowest polymorph listed for this composition (meV per atom): 0.0
Total energy (eV for the cell shown): -45.87

Unit cell a=6.1403 b=7.9629 c=11.2517 alpha=135.14 beta=56.70 gamma=121.18
Closest atoms and distances in Å follow each position.
Element x y z (fractional)
Er 0.4997 0.7020 0.8031  8 Er 3.51-3.58, 2 Dy 3.53-3.55, 2 Pr 3.56-3.57
Er 0.5000 0.5000 0.0000  8 Er 3.53-3.55, 2 Pr 3.55, 2 Dy 3.55
Dy 0.0000 0.0000 0.0000  10 Er 3.53-3.55, 2 Pr 3.54
Pr 0.5000 0.8995 0.6015  1 Dy 3.54, 10 Er 3.54-3.57, 1 Pr 3.60
Er 0.0004 0.7985 0.1977  8 Er 3.52-3.58, 3 Pr 3.54-3.57, 1 Dy 3.55
Er 0.9992 0.4019 0.6019  1 Dy 3.54, 7 Er 3.54-3.58, 4 Pr 3.54-3.56
Er 0.5003 0.2980 0.1969  8 Er 3.51-3.58, 2 Dy 3.53-3.55, 2 Pr 3.56-3.57
Er 0.0008 0.5981 0.3981  1 Dy 3.54, 7 Er 3.54-3.58, 4 Pr 3.54-3.56
Pr 0.5000 0.1005 0.3985  1 Dy 3.54, 10 Er 3.54-3.57, 1 Pr 3.60
Er 0.9996 0.2015 0.8023  8 Er 3.52-3.58, 3 Pr 3.54-3.57, 1 Dy 3.55



Record 2
Material: Pr4Dy5Er4
Method: DFT, GGA-PBE
State: optimized geometry

Results
Formation energy from the elements (eV/f.u.): 0.3
Density of states at the Fermi level (states/eV per cell): 18.4
Total energy (eV for the cell shown): -60.09

Unit cell a=5.0579 b=9.4931 c=9.4931 alpha=85.93 beta=74.55 gamma=74.55
Closest atoms and distances in Å follow each position.
Element x y z (fractional)
Pr 0.6187 0.3026 0.4599  4 Er 3.54-3.59, 3 Dy 3.59-3.64, 5 Pr 3.63-3.69
Dy 0.4604 0.2284 0.8508  4 Dy 3.53-3.55, 5 Er 3.55-3.62, 3 Pr 3.59-3.64
Dy 0.6888 0.8508 0.7716  4 Dy 3.53-3.55, 5 Er 3.55-3.62, 3 Pr 3.59-3.64
Dy 0.5396 0.7716 0.1492  4 Dy 3.53-3.55, 5 Er 3.55-3.62, 3 Pr 3.59-3.64
Pr 0.3813 0.6974 0.5401  4 Er 3.54-3.59, 3 Dy 3.59-3.64, 5 Pr 3.63-3.69
Er 0.7708 0.3824 0.0760  4 Pr 3.54-3.59, 6 Dy 3.55-3.62, 2 Er 3.60
Er 0.1532 0.0760 0.6176  4 Pr 3.54-3.59, 6 Dy 3.55-3.62, 2 Er 3.60
Dy 0.3112 0.1492 0.2284  4 Dy 3.53-3.55, 5 Er 3.55-3.62, 3 Pr 3.59-3.64
Pr 0.0786 0.5401 0.3026  4 Er 3.54-3.59, 3 Dy 3.59-3.64, 5 Pr 3.63-3.69
Er 0.8468 0.9240 0.3824  4 Pr 3.54-3.59, 6 Dy 3.55-3.62, 2 Er 3.60
Dy 0.0000 0.0000 0.0000  8 Dy 3.55, 4 Er 3.57
Pr 0.9214 0.4599 0.6974  4 Er 3.54-3.59, 3 Dy 3.59-3.64, 5 Pr 3.63-3.69
Er 0.2292 0.6176 0.9240  4 Pr 3.54-3.59, 6 Dy 3.55-3.62, 2 Er 3.60



Record 3
Material: PrDy5Er4
Method: DFT, GGA-PBE
State: optimized geometry

Results
Formation energy from the elements (eV/f.u.): 3.1
Density of states at the Fermi level (states/eV per cell): 14.1
Energy relative to the lowest polymorph listed for this composition (meV per atom): 242.0
Total energy (eV for the cell shown): -42.98

Unit cell a=6.2975 b=7.8413 c=7.8413 alpha=80.72 beta=66.32 gamma=66.32
Closest atoms and distances in Å follow each position.
Element x y z (fractional)
Er 0.5042 0.5995 0.2988  4 Dy 3.21-3.51, 1 Er 3.22
Pr 0.2219 0.0000 0.0000  1 Dy 2.87
Er 0.8030 0.7012 0.5995  4 Dy 3.21-3.51, 1 Er 3.22
Er 0.4025 0.4005 0.7012  4 Dy 3.21-3.51, 1 Er 3.22
Dy 0.7145 0.0901 0.3794  4 Er 3.21-3.51, 1 Dy 3.28, 1 Pr 3.28
Dy 0.1840 0.9099 0.6206  4 Er 3.21-3.51, 1 Dy 3.28, 1 Pr 3.28
Dy 0.8046 0.3794 0.9099  4 Er 3.21-3.51, 1 Dy 3.28, 1 Pr 3.28
Dy 0.6779 0.0000 0.0000  1 Pr 2.87
Dy 0.0939 0.6206 0.0901  4 Er 3.21-3.51, 1 Dy 3.28, 1 Pr 3.28
Er 0.1037 0.2988 0.4005  4 Dy 3.21-3.51, 1 Er 3.22



Record 4
Material: PrDy2Er
Method: DFT, GGA-PBE
State: optimized geometry

Results
Formation energy from the elements (eV/f.u.): 0.1
Density of states at the Fermi level (states/eV per cell): 5.9
Energy relative to the lowest polymorph listed for this composition (meV per atom): 4.7
Total energy (eV for the cell shown): -18.45

Unit cell a=5.0668 b=5.0521 c=5.0521 alpha=90.00 beta=90.00 gamma=90.00
Closest atoms and distances in Å follow each position.
Element x y z (fractional)
Pr 0.5000 0.0000 0.0000  4 Er 3.57, 8 Dy 3.58
Dy 0.0000 0.0000 0.5000  4 Dy 3.57, 4 Pr 3.58, 4 Er 3.58
Er 0.5000 0.5000 0.5000  4 Pr 3.57, 8 Dy 3.58
Dy 0.0000 0.5000 0.0000  4 Dy 3.57, 4 Pr 3.58, 4 Er 3.58